A relaxed TbNd2Y crystal, computed with PBE-GGA.

a b c (Å): 5.826 7.377 6.353
angles (deg): 90.00 90.00 90.00
Fractional coordinates of all 8 atoms:
Tb (0.250, 0.250, 0.167)
Tb (0.750, 0.750, 0.833)
Nd (0.250, 0.000, 0.668)
Nd (0.250, 0.500, 0.668)
Nd (0.750, 0.000, 0.332)
Nd (0.750, 0.500, 0.332)
Y (0.250, 0.750, 0.164)
Y (0.750, 0.250, 0.836)

Values from the calculation:
Volume ... 34.13 A^3/atom
E above lowest polymorph ... 10.8 meV/atom
Energy of formation ... 24 meV per atom

---

A relaxed TbNd4Y6 crystal, computed with PBE-GGA.

a b c (Å): 11.006 11.006 3.605
angles (deg): 90.00 90.00 120.00
Fractional coordinates of all 11 atoms:
Tb (0.000, 0.000, 0.000)
Nd (0.319, 0.160, 0.500)
Nd (0.333, 0.667, 0.000)
Nd (0.840, 0.160, 0.500)
Nd (0.840, 0.681, 0.500)
Y (0.183, 0.367, 0.500)
Y (0.183, 0.817, 0.500)
Y (0.521, 0.041, 0.000)
Y (0.521, 0.479, 0.000)
Y (0.633, 0.817, 0.500)
Y (0.959, 0.479, 0.000)

Values from the calculation:
Volume ... 34.38 A^3/atom
E above lowest polymorph ... 50.3 meV/atom
Energy of formation ... 163 meV per atom

---

A relaxed TbNd5Y4 crystal, computed with PBE-GGA.

a b c (Å): 3.584 9.324 11.093
angles (deg): 103.26 90.02 101.03
Fractional coordinates of all 10 atoms:
Tb (0.000, 0.000, 0.000)
Nd (0.000, 0.000, 0.500)
Nd (0.332, 0.662, 0.475)
Nd (0.339, 0.676, 0.085)
Nd (0.661, 0.324, 0.915)
Nd (0.668, 0.338, 0.525)
Y (0.176, 0.355, 0.220)
Y (0.476, 0.953, 0.743)
Y (0.524, 0.047, 0.257)
Y (0.824, 0.645, 0.780)

Values from the calculation:
Volume ... 35.37 A^3/atom
E above lowest polymorph ... 47.8 meV/atom
Energy of formation ... 209 meV per atom

---

A relaxed Tb5Nd6Y crystal, computed with PBE-GGA.

a b c (Å): 6.293 6.293 11.919
angles (deg): 95.04 95.04 120.01
Fractional coordinates of all 12 atoms:
Tb (0.000, 0.000, 0.000)
Tb (0.167, 0.833, 0.500)
Tb (0.333, 0.667, 0.000)
Tb (0.667, 0.333, 0.000)
Tb (0.833, 0.167, 0.500)
Nd (0.083, 0.417, 0.250)
Nd (0.249, 0.249, 0.750)
Nd (0.417, 0.083, 0.250)
Nd (0.583, 0.917, 0.750)
Nd (0.751, 0.751, 0.250)
Nd (0.917, 0.583, 0.750)
Y (0.500, 0.500, 0.500)

Values from the calculation:
Volume ... 33.53 A^3/atom
E above lowest polymorph ... 0.0 meV/atom
Energy of formation ... 10 meV per atom

---

A relaxed Tb3Nd9Y2 crystal, computed with PBE-GGA.

a b c (Å): 9.091 9.091 14.066
angles (deg): 90.00 90.00 120.00
Fractional coordinates of all 28 atoms:
Tb (0.079, 0.250, 0.250)
Tb (0.171, 0.921, 0.250)
Tb (0.250, 0.171, 0.750)
Tb (0.750, 0.829, 0.250)
Tb (0.829, 0.079, 0.750)
Tb (0.921, 0.750, 0.750)
Nd (0.081, 0.481, 0.750)
Nd (0.132, 0.726, 0.542)
Nd (0.132, 0.726, 0.958)
Nd (0.274, 0.406, 0.542)
Nd (0.274, 0.406, 0.958)
Nd (0.400, 0.919, 0.750)
Nd (0.406, 0.132, 0.042)
Nd (0.406, 0.132, 0.458)
Nd (0.481, 0.400, 0.250)
Nd (0.519, 0.600, 0.750)
Nd (0.594, 0.868, 0.542)
Nd (0.594, 0.868, 0.958)
Nd (0.600, 0.081, 0.250)
Nd (0.726, 0.594, 0.042)
Nd (0.726, 0.594, 0.458)
Nd (0.868, 0.274, 0.042)
Nd (0.868, 0.274, 0.458)
Nd (0.919, 0.519, 0.250)
Y (0.333, 0.667, 0.142)
Y (0.333, 0.667, 0.358)
Y (0.667, 0.333, 0.642)
Y (0.667, 0.333, 0.858)

Values from the calculation:
Volume ... 35.96 A^3/atom
Energy of formation ... 236 meV per atom

---

A relaxed TbNd8Y5 crystal, computed with PBE-GGA.

a b c (Å): 8.618 8.618 8.618
angles (deg): 111.12 111.12 106.22
Fractional coordinates of all 14 atoms:
Tb (0.000, 0.000, 0.000)
Nd (0.089, 0.677, 0.771)
Nd (0.175, 0.278, 0.761)
Nd (0.323, 0.094, 0.412)
Nd (0.517, 0.413, 0.239)
Nd (0.587, 0.825, 0.103)
Nd (0.682, 0.911, 0.588)
Nd (0.722, 0.483, 0.897)
Nd (0.906, 0.318, 0.229)
Y (0.214, 0.621, 0.187)
Y (0.379, 0.565, 0.593)
Y (0.435, 0.028, 0.813)
Y (0.750, 0.250, 0.500)
Y (0.972, 0.786, 0.407)

Values from the calculation:
Volume ... 35.11 A^3/atom
Energy of formation ... 253 meV per atom

---

A relaxed TbNd5Y6 crystal, computed with PBE-GGA.

a b c (Å): 6.275 6.275 11.893
angles (deg): 95.02 95.02 119.98
Fractional coordinates of all 12 atoms:
Tb (0.000, 0.000, 0.000)
Nd (0.167, 0.833, 0.500)
Nd (0.333, 0.667, 0.000)
Nd (0.500, 0.500, 0.500)
Nd (0.667, 0.333, 0.000)
Nd (0.833, 0.167, 0.500)
Y (0.083, 0.416, 0.249)
Y (0.250, 0.250, 0.751)
Y (0.416, 0.083, 0.249)
Y (0.584, 0.917, 0.751)
Y (0.750, 0.750, 0.249)
Y (0.917, 0.584, 0.751)

Values from the calculation:
Volume ... 33.28 A^3/atom
Energy of formation ... 10 meV per atom

---

A relaxed Tb4Nd5Y crystal, computed with PBE-GGA.

a b c (Å): 3.623 9.574 10.261
angles (deg): 74.40 89.95 79.11
Fractional coordinates of all 10 atoms:
Tb (0.100, 0.299, 0.297)
Tb (0.300, 0.899, 0.900)
Tb (0.700, 0.101, 0.100)
Tb (0.900, 0.701, 0.703)
Nd (0.101, 0.300, 0.803)
Nd (0.300, 0.901, 0.399)
Nd (0.500, 0.500, 0.500)
Nd (0.700, 0.099, 0.601)
Nd (0.899, 0.700, 0.197)
Y (0.500, 0.500, 0.000)

Values from the calculation:
Volume ... 33.62 A^3/atom
E above lowest polymorph ... 0.0 meV/atom
Energy of formation ... 15 meV per atom

---

A relaxed TbNd7Y2 crystal, computed with PBE-GGA.

a b c (Å): 10.455 10.455 3.526
angles (deg): 90.00 90.00 108.97
Fractional coordinates of all 10 atoms:
Tb (0.000, 0.000, 0.000)
Nd (0.126, 0.385, 0.500)
Nd (0.324, 0.676, 0.000)
Nd (0.385, 0.126, 0.500)
Nd (0.500, 0.500, 0.500)
Nd (0.615, 0.874, 0.500)
Nd (0.676, 0.324, 0.000)
Nd (0.874, 0.615, 0.500)
Y (0.167, 0.833, 0.500)
Y (0.833, 0.167, 0.500)

Values from the calculation:
Volume ... 36.45 A^3/atom
E above lowest polymorph ... 0.0 meV/atom
Energy of formation ... 386 meV per atom

---

A relaxed Tb5Nd2Y12 crystal, computed with PBE-GGA.

a b c (Å): 9.118 9.118 8.639
angles (deg): 91.50 91.50 61.82
Fractional coordinates of all 19 atoms:
Tb (0.000, 0.000, 0.000)
Tb (0.230, 0.230, 0.074)
Tb (0.298, 0.298, 0.484)
Tb (0.702, 0.702, 0.516)
Tb (0.770, 0.770, 0.926)
Nd (0.323, 0.677, 0.500)
Nd (0.677, 0.323, 0.500)
Y (0.027, 0.669, 0.260)
Y (0.082, 0.082, 0.376)
Y (0.181, 0.562, 0.841)
Y (0.331, 0.973, 0.740)
Y (0.438, 0.819, 0.159)
Y (0.442, 0.442, 0.169)
Y (0.558, 0.558, 0.831)
Y (0.562, 0.181, 0.841)
Y (0.669, 0.027, 0.260)
Y (0.819, 0.438, 0.159)
Y (0.918, 0.918, 0.624)
Y (0.973, 0.331, 0.740)

Values from the calculation:
Volume ... 33.30 A^3/atom
E above lowest polymorph ... 46.4 meV/atom
Energy of formation ... 129 meV per atom

---

A relaxed Tb4Nd6Y crystal, computed with PBE-GGA.

a b c (Å): 8.685 8.685 8.685
angles (deg): 128.18 128.18 76.33
Fractional coordinates of all 11 atoms:
Tb (0.254, 0.254, 0.668)
Tb (0.414, 0.746, 0.000)
Tb (0.586, 0.586, 0.332)
Tb (0.746, 0.414, 0.000)
Nd (0.000, 0.500, 0.500)
Nd (0.039, 0.583, 0.000)
Nd (0.417, 0.417, 0.456)
Nd (0.500, 0.000, 0.500)
Nd (0.583, 0.039, 0.000)
Nd (0.961, 0.961, 0.544)
Y (0.000, 0.000, 0.000)

Values from the calculation:
Volume ... 35.77 A^3/atom
E above lowest polymorph ... 69.5 meV/atom
Energy of formation ... 356 meV per atom

---

A relaxed Tb7Nd3Y2 crystal, computed with PBE-GGA.

a b c (Å): 6.394 3.548 17.645
angles (deg): 90.00 96.19 90.00
Fractional coordinates of all 12 atoms:
Tb (0.000, 0.000, 0.000)
Tb (0.224, 0.500, 0.166)
Tb (0.254, 0.500, 0.499)
Tb (0.271, 0.000, 0.834)
Tb (0.729, 0.000, 0.166)
Tb (0.746, 0.500, 0.501)
Tb (0.776, 0.500, 0.834)
Nd (0.451, 0.000, 0.341)
Nd (0.500, 0.500, 0.000)
Nd (0.549, 0.000, 0.659)
Y (0.056, 0.500, 0.673)
Y (0.944, 0.500, 0.327)

Values from the calculation:
Volume ... 33.16 A^3/atom
E above lowest polymorph ... 0.0 meV/atom
Energy of formation ... 82 meV per atom